Here is an optimized crystal structure of MgZnCu2 from the Alexandria database. Energies are from PBE-GGA.

Output
Magnetic moment = 0.000 μB/cell
Raw total energy = -2.822 eV/atom

a = 2.7711 Å, b = 4.2185 Å, c = 5.0342 Å
α = 90.00°, β = 101.06°, γ = 90.00°
Space group Pm (No. 6)
One atom of each set of equivalent atoms:
Mg: 0.0000 0.0000 0.0000 x1
Zn: 0.7455 0.5000 0.3374 x1
Cu: 0.3668 0.0000 0.5203 x1
Cu: 0.4089 0.5000 0.7971 x1

=====

Here is an optimized crystal structure of Mg2Zn2Cu from the Alexandria database. Energies are from PBE-GGA.

Output
Energy above the most stable polymorph in this dataset = 50 meV/atom
Magnetic moment = 0.000 μB/cell
Raw total energy = -2.034 eV/atom

a = 5.5245 Å, b = 12.4041 Å, c = 4.9671 Å
α = 90.00°, β = 90.00°, γ = 90.00°
Space group Ibam (No. 72)
One atom of each set of equivalent atoms:
Mg: 0.1751 0.1788 0.0000 x8
Zn: 0.1447 0.4132 0.0000 x8
Cu: 0.0000 0.0000 0.2500 x4

=====

Here is an optimized crystal structure of Mg2Zn3Cu from the Alexandria database. Energies are from PBE-GGA.

Output
Energy above the most stable polymorph in this dataset = 189 meV/atom
Magnetic moment = 0.000 μB/cell
Raw total energy = -1.833 eV/atom

a = 4.5417 Å, b = 4.5417 Å, c = 10.8949 Å
α = 90.00°, β = 90.00°, γ = 120.00°
Space group P6_3/mmc (No. 194)
One atom of each set of equivalent atoms:
Mg: 0.3333 0.6667 0.1118 x4
Zn: 0.0000 0.0000 0.0000 x2
Zn: 0.3333 0.6667 0.6392 x4
Cu: 0.0000 0.0000 0.2500 x2

=====

Here is an optimized crystal structure of Mg2Zn2Cu from the Alexandria database. Energies are from PBE-GGA.

Output
Energy above the most stable polymorph in this dataset = 215 meV/atom
Magnetic moment = 0.000 μB/cell
Raw total energy = -1.869 eV/atom

a = 3.4690 Å, b = 3.4690 Å, c = 15.3638 Å
α = 90.00°, β = 90.00°, γ = 90.00°
Space group I4/mmm (No. 139)
One atom of each set of equivalent atoms:
Mg: 0.0000 0.0000 0.0945 x4
Zn: 0.0000 0.5000 0.2500 x4
Cu: 0.0000 0.0000 0.5000 x2

=====

Here is an optimized crystal structure of Mg2ZnCu2 from the Alexandria database. Energies are from PBE-GGA.

Output
Magnetic moment = 0.000 μB/cell
Raw total energy = -2.554 eV/atom

a = 5.3964 Å, b = 12.1083 Å, c = 4.9085 Å
α = 90.00°, β = 90.00°, γ = 90.00°
Space group Ibam (No. 72)
One atom of each set of equivalent atoms:
Mg: 0.1967 0.1829 0.0000 x8
Zn: 0.0000 0.0000 0.2500 x4
Cu: 0.1367 0.4147 0.0000 x8

=====

Here is an optimized crystal structure of Mg2Zn2Cu3 from the Alexandria database. Energies are from PBE-GGA.

Output
Energy above the most stable polymorph in this dataset = 0 meV/atom
Magnetic moment = 0.000 μB/cell
Raw total energy = -2.641 eV/atom

a = 13.0947 Å, b = 4.3130 Å, c = 9.8004 Å
α = 90.00°, β = 129.54°, γ = 90.00°
Space group C2/m (No. 12)
One atom of each set of equivalent atoms:
Mg: 0.0576 0.0000 0.3143 x4
Mg: 0.1092 0.5000 0.6953 x4
Zn: 0.0457 0.5000 0.9171 x4
Zn: 0.2353 0.5000 0.2937 x4
Cu: 0.1251 0.0000 0.0966 x4
Cu: 0.1883 0.5000 0.5083 x4
Cu: 0.2070 0.0000 0.9174 x4

=====

Here is an optimized crystal structure of Mg2Zn3Cu from the Alexandria database. Energies are from PBE-GGA.

Output
Energy above the most stable polymorph in this dataset = 12 meV/atom
Magnetic moment = 0.000 μB/cell
Raw total energy = -2.010 eV/atom

a = 5.1726 Å, b = 5.1726 Å, c = 8.3141 Å
α = 90.00°, β = 90.00°, γ = 120.00°
Space group P6_3/mmc (No. 194)
One atom of each set of equivalent atoms:
Mg: 0.3333 0.6667 0.0589 x4
Zn: 0.1682 0.3365 0.7500 x6
Cu: 0.0000 0.0000 0.0000 x2

=====

Here is an optimized crystal structure of MgZnCu from the Alexandria database. Energies are from PBE-GGA.

Output
Magnetic moment = 0.000 μB/cell
Raw total energy = -2.414 eV/atom

a = 5.8049 Å, b = 5.0932 Å, c = 7.1232 Å
α = 90.00°, β = 110.03°, γ = 90.00°
Space group P2_1/c (No. 14)
One atom of each set of equivalent atoms:
Mg: 0.1702 0.1178 0.3682 x4
Zn: 0.4255 0.5979 0.2991 x4
Cu: 0.1808 0.6259 0.5231 x4

=====

Here is an optimized crystal structure of Mg2ZnCu2 from the Alexandria database. Energies are from PBE-GGA.

Output
Magnetic moment = 0.000 μB/cell
Raw total energy = -2.518 eV/atom

a = 5.0300 Å, b = 2.8778 Å, c = 11.3118 Å
α = 90.00°, β = 93.94°, γ = 90.00°
Space group P2_1/m (No. 11)
One atom of each set of equivalent atoms:
Mg: 0.0452 0.2500 0.3058 x2
Mg: 0.2607 0.7500 0.0691 x2
Zn: 0.4593 0.2500 0.6760 x2
Cu: 0.2301 0.2500 0.8639 x2
Cu: 0.2474 0.7500 0.4993 x2

=====

Here is an optimized crystal structure of MgZnCu from the Alexandria database. Energies are from PBE-GGA.

Output
Magnetic moment = 0.000 μB/cell
Raw total energy = -2.377 eV/atom

a = 8.3575 Å, b = 4.3606 Å, c = 5.3509 Å
α = 90.00°, β = 99.81°, γ = 90.00°
Space group C2/m (No. 12)
One atom of each set of equivalent atoms:
Mg: 0.1254 0.0000 0.3431 x4
Zn: 0.2356 0.0000 0.8623 x4
Cu: 0.0622 0.5000 0.7312 x4

=====

Here is an optimized crystal structure of MgZnCu2 from the Alexandria database. Energies are from PBE-GGA.

Output
Magnetic moment = 0.000 μB/cell
Raw total energy = -2.804 eV/atom

a = 4.1269 Å, b = 9.1870 Å, c = 6.4228 Å
α = 90.00°, β = 90.00°, γ = 90.00°
Space group Cmcm (No. 63)
One atom of each set of equivalent atoms:
Mg: 0.0000 0.0815 0.2500 x4
Zn: 0.0000 0.2123 0.7500 x4
Cu: 0.0000 0.3722 0.0596 x8

=====

Here is an optimized crystal structure of MgZnCu4 from the Alexandria database. Energies are from PBE-GGA.

Output
Magnetic moment = 0.000 μB/cell
Raw total energy = -2.604 eV/atom

a = 5.7728 Å, b = 5.7728 Å, c = 6.8609 Å
α = 90.00°, β = 90.00°, γ = 90.00°
Space group P4/mbm (No. 127)
One atom of each set of equivalent atoms:
Mg: 0.0000 0.5000 0.0000 x2
Zn: 0.0000 0.0000 0.5000 x2
Cu: 0.0000 0.0000 0.1655 x4
Cu: 0.1395 0.3605 0.5000 x4

=====

Here is an optimized crystal structure of MgZn6Cu12 from the Alexandria database. Energies are from PBE-GGA.

Output
Magnetic moment = 0.000 μB/cell
Raw total energy = -3.070 eV/atom

a = 10.0936 Å, b = 10.0936 Å, c = 8.7496 Å
α = 90.00°, β = 90.00°, γ = 120.00°
Space group R-3m (No. 166, hexagonal axes)
One atom of each set of equivalent atoms:
Mg: 0.0000 0.0000 0.0000 x3
Zn: 0.0867 0.1735 0.7384 x18
Cu: 0.0000 0.2643 0.0000 x18
Cu: 0.0567 0.5283 0.1251 x18

=====

Here is an optimized crystal structure of Mg8Zn4Cu from the Alexandria database. Energies are from PBE-GGA.

Output
Energy above the most stable polymorph in this dataset = 0 meV/atom
Magnetic moment = 0.000 μB/cell
Raw total energy = -1.707 eV/atom

a = 11.4884 Å, b = 11.4884 Å, c = 3.7852 Å
α = 90.00°, β = 90.00°, γ = 90.00°
Space group I4/m (No. 87)
One atom of each set of equivalent atoms:
Mg: 0.0735 0.3697 0.0000 x8
Mg: 0.1447 0.7880 0.0000 x8
Zn: 0.0311 0.1683 0.5000 x8
Cu: 0.0000 0.0000 0.0000 x2

=====

Here is an optimized crystal structure of MgZnCu from the Alexandria database. Energies are from PBE-GGA.

Output
Magnetic moment = 0.000 μB/cell
Raw total energy = -2.379 eV/atom

a = 5.6362 Å, b = 3.9623 Å, c = 8.2446 Å
α = 90.00°, β = 90.00°, γ = 90.00°
Space group Pnma (No. 62)
One atom of each set of equivalent atoms:
Mg: 0.1338 0.2500 0.0947 x4
Zn: 0.1284 0.2500 0.4193 x4
Cu: 0.1128 0.2500 0.7417 x4

=====

Here is an optimized crystal structure of MgZn9Cu2 from the Alexandria database. Energies are from PBE-GGA.

Output
Energy above the most stable polymorph in this dataset = 0 meV/atom
Magnetic moment = 0.000 μB/cell
Raw total energy = -1.812 eV/atom

a = 8.4391 Å, b = 8.4391 Å, c = 2.9480 Å
α = 90.00°, β = 90.00°, γ = 120.00°
Space group P6/mmm (No. 191)
One atom of each set of equivalent atoms:
Mg: 0.0000 0.0000 0.0000 x1
Zn: 0.0000 0.5000 0.0000 x3
Zn: 0.1827 0.3654 0.5000 x6
Cu: 0.3333 0.6667 0.0000 x2

=====

Here is an optimized crystal structure of MgZn3Cu2 from the Alexandria database. Energies are from PBE-GGA.

Output
Energy above the most stable polymorph in this dataset = 0 meV/atom
Magnetic moment = 0.000 μB/cell
Raw total energy = -2.334 eV/atom

a = 8.7859 Å, b = 8.4528 Å, c = 5.0264 Å
α = 90.00°, β = 90.00°, γ = 90.00°
Space group Cmcm (No. 63)
One atom of each set of equivalent atoms:
Mg: 0.0000 0.1187 0.2500 x4
Zn: 0.0000 0.4720 0.2500 x4
Zn: 0.1723 0.2460 0.7500 x8
Cu: 0.2490 0.5000 0.0000 x8

=====

Here is an optimized crystal structure of MgZnCu from the Alexandria database. Energies are from PBE-GGA.

Output
Magnetic moment = 0.000 μB/cell
Raw total energy = -2.193 eV/atom

a = 3.9129 Å, b = 3.9129 Å, c = 6.6180 Å
α = 90.00°, β = 90.00°, γ = 90.00°
Space group P4/nmm (No. 129, origin choice 2)
One atom of each set of equivalent atoms:
Mg: 0.2500 0.7500 0.0000 x2
Zn: 0.2500 0.2500 0.3392 x2
Cu: 0.2500 0.2500 0.7117 x2

=====

Here is an optimized crystal structure of MgZnCu from the Alexandria database. Energies are from PBE-GGA.

Output
Magnetic moment = 0.000 μB/cell
Raw total energy = -2.261 eV/atom

a = 4.4470 Å, b = 4.4470 Å, c = 2.6801 Å
α = 90.00°, β = 90.00°, γ = 120.00°
Space group P-6m2 (No. 187)
One atom of each set of equivalent atoms:
Mg: 0.0000 0.0000 0.0000 x1
Zn: 0.3333 0.6667 0.0000 x1
Cu: 0.6667 0.3333 0.5000 x1

=====

Here is an optimized crystal structure of MgZn2Cu from the Alexandria database. Energies are from PBE-GGA.

Output
Magnetic moment = 0.000 μB/cell
Raw total energy = -2.133 eV/atom

a = 4.2501 Å, b = 4.2501 Å, c = 8.1699 Å
α = 90.00°, β = 90.00°, γ = 120.00°
Space group P6_3/mmc (No. 194)
One atom of each set of equivalent atoms:
Mg: 0.3333 0.6667 0.2500 x2
Zn: 0.3333 0.6667 0.5852 x4
Cu: 0.0000 0.0000 0.0000 x2

=====

Here is an optimized crystal structure of MgZn2Cu2 from the Alexandria database. Energies are from PBE-GGA.

Output
Energy above the most stable polymorph in this dataset = 56 meV/atom
Magnetic moment = 0.000 μB/cell
Raw total energy = -2.503 eV/atom

a = 5.0275 Å, b = 7.7752 Å, c = 8.2479 Å
α = 90.00°, β = 90.00°, γ = 90.00°
Space group Fmmm (No. 69)
One atom of each set of equivalent atoms:
Mg: 0.0000 0.0000 0.0000 x4
Zn: 0.2500 0.2500 0.2500 x8
Cu: 0.0000 0.1581 0.5000 x8

=====

Here is an optimized crystal structure of Mg2Zn3Cu2 from the Alexandria database. Energies are from PBE-GGA.

Output
Energy above the most stable polymorph in this dataset = 11 meV/atom
Magnetic moment = 0.000 μB/cell
Raw total energy = -2.238 eV/atom

a = 4.0741 Å, b = 18.0936 Å, c = 3.0175 Å
α = 90.00°, β = 90.00°, γ = 90.00°
Space group Cmmm (No. 65)
One atom of each set of equivalent atoms:
Mg: 0.0000 0.1584 0.0000 x4
Zn: 0.0000 0.0000 0.0000 x2
Zn: 0.0000 0.4286 0.5000 x4
Cu: 0.0000 0.2887 0.5000 x4

=====

Here is an optimized crystal structure of MgZn4Cu from the Alexandria database. Energies are from PBE-GGA.

Output
Energy above the most stable polymorph in this dataset = 117 meV/atom
Magnetic moment = 0.000 μB/cell
Raw total energy = -1.750 eV/atom

a = 9.0003 Å, b = 2.6749 Å, c = 7.8105 Å
α = 90.00°, β = 90.00°, γ = 90.00°
Space group Pmma (No. 51)
One atom of each set of equivalent atoms:
Mg: 0.2500 0.0000 0.2266 x2
Zn: 0.0000 0.0000 0.0000 x2
Zn: 0.0097 0.5000 0.6676 x4
Zn: 0.2500 0.5000 0.8827 x2
Cu: 0.2500 0.0000 0.5833 x2